VASP calculation (GGA-PBE) on Sc2NbTl2 after structural relaxation.

POSCAR file:
```
Sc2NbTl2
1.0
-0.866 -4.232 6.749
2.364 -6.620 -3.848
3.333 0.690 0.860
Sc Nb Tl
4 2 4
Direct
0.330 0.170 0.500 Sc
0.830 0.330 0.500 Sc
0.670 0.830 0.500 Sc
0.170 0.670 0.500 Sc
0.000 0.000 0.000 Nb
0.500 0.500 0.000 Nb
0.635 0.135 0.000 Tl
0.865 0.635 0.000 Tl
0.365 0.865 0.000 Tl
0.135 0.365 0.000 Tl
```

Results
Raw total energy = -5.399 eV/atom
Space-group type = P4/mbm (127)
DFT formation energy = 9 kJ per mole of atoms